# 1
Compound: CoOs2Se
Source: Alexandria
Functional: GGA-PBE
Structure: optimized geometry

The structure in POSCAR format:
```
CoOs2Se
1.0
2.877 0.000 0.000
0.000 4.202 0.000
0.000 0.000 9.610
Co Os Se
2 4 2
Cartesian
0.000 0.000 0.000
1.439 2.101 4.805
0.000 2.101 2.066
0.000 2.101 7.544
1.439 0.000 2.739
1.439 0.000 6.871
0.000 0.000 4.805
1.439 2.101 0.000
```

SG	Immm
formation energy without anion corrections	618	meV per atom

# 2
Compound: TmCu2F8
Source: Alexandria
Functional: GGA-PBE
Structure: optimized geometry

The structure in POSCAR format:
```
TmCu2F8
1.0
6.594 0.000 0.000
-3.297 5.710 0.000
0.000 0.000 3.904
Tm Cu F
1 2 8
Cartesian
0.000 0.000 0.000
0.000 3.807 2.887
3.297 1.903 1.017
-0.005 1.890 2.879
-1.658 4.770 2.879
1.634 0.949 1.025
0.000 3.807 0.931
3.297 1.903 2.974
1.663 4.761 2.879
4.955 0.940 1.025
3.302 3.821 1.025
```

SG	P-3
formation energy without anion corrections	-2258	meV per atom

Number 1: density 14.8 g/cm³. Number 2: density 5.1 g/cm³.